Record 1
Computed, not measured: a geometry-optimized Li3Cd3Hg2 structure at the PBE-GGA level of DFT.

Values from the calculation:
Formation enthalpy at 0 K   -25 kJ per mole of atoms
Crystal system   hexagonal
Total magnetic moment   0.000 μB/atom
Space group   P-62m
E above lowest polymorph   0.00 eV per formula unit
Calculated total energy   -1.3907 eV/atom

POSCAR file:
```
Li3Cd3Hg2
1.0
3.309 0.000 0.000
0.000 6.504 -3.755
0.000 0.000 7.510
Cd Li Hg
3 3 2
Cartesian
0.000 5.010 2.892
0.000 1.494 -0.863
0.000 0.000 1.726
1.654 2.601 1.502
1.654 0.000 4.506
1.654 3.903 -2.253
0.000 4.336 0.000
0.000 2.168 3.755
```

---

Record 2
Computed, not measured: a geometry-optimized PuTh2Al6 structure at the PBE-GGA level of DFT.

Values from the calculation:
Formation enthalpy at 0 K   -11 kJ per mole of atoms
Crystal system   hexagonal
Total magnetic moment   0.016 μB/atom
Space group   P6/mmm
Calculated total energy   -5.8511 eV/atom

POSCAR file:
```
PuTh2Al6
1.0
-7.967 -1.098 0.190
4.913 -5.670 2.904
-0.131 1.495 3.142
Pu Al Th
1 6 2
Cartesian
0.000 0.000 0.000
1.542 -1.108 2.521
-2.121 -3.806 3.653
3.239 -3.067 3.525
-1.065 -1.467 2.583
-2.673 0.388 1.633
-5.425 0.009 1.699
-3.674 -2.622 1.095
0.619 -4.146 1.999
```

---

Record 3
Computed, not measured: a geometry-optimized Lu2Zn17 structure at the PBE-GGA level of DFT.

Values from the calculation:
Formation enthalpy at 0 K   -19 kJ per mole of atoms
Crystal system   trigonal
Total magnetic moment   0.000 μB/atom
Space group   R-3m
Calculated total energy   -1.8119 eV/atom

POSCAR file:
```
Lu2Zn17
1.0
-5.978 2.601 -1.764
-2.538 -5.540 -2.913
-3.527 -2.239 5.306
Zn Lu
17 2
Cartesian
-4.947 0.161 -2.109
-7.150 -0.573 -0.631
-3.231 -3.229 2.843
-1.764 -1.120 2.653
-5.486 -4.511 -1.187
-2.989 1.301 -0.882
-5.964 -2.914 2.789
-1.269 -2.770 -1.456
-1.207 -0.519 0.063
-3.569 -3.100 -2.569
-5.243 1.150 0.355
-2.834 -4.551 -0.449
-6.078 -2.264 -2.160
-6.557 -0.667 1.816
-4.893 -4.606 1.260
-10.836 -4.659 0.566
-4.262 -0.789 3.187
-4.033 -1.734 0.211
-8.010 -3.444 0.418
```

---

Record 4
Computed, not measured: a geometry-optimized CoWCl structure at the PBE-GGA level of DFT.

Values from the calculation:
Crystal system   trigonal
Formation energy (no corrections)   35.7 kJ/mol of atoms
Total magnetic moment   0.320 μB/atom
Space group   P3m1
E above lowest polymorph   0.00 eV per formula unit
Calculated total energy   -6.9320 eV/atom

POSCAR file:
```
CoWCl
1.0
2.899 0.000 0.000
-1.450 2.511 0.000
0.000 0.000 6.049
Co W Cl
1 1 1
Cartesian
1.450 0.837 2.097
0.000 1.674 3.994
0.000 0.000 6.007
```

---

Record 5
Computed, not measured: a geometry-optimized LaRu3F structure at the PBE-GGA level of DFT.

Values from the calculation:
Crystal system   cubic
Formation energy (no corrections)   170.4 kJ/mol of atoms
Total magnetic moment   0.959 μB/atom
Space group   Pm-3m
E above lowest polymorph   6.28 eV per formula unit
Calculated total energy   -5.1593 eV/atom

POSCAR file:
```
LaRu3F
1.0
-3.187 -2.909 -2.322
2.620 -3.925 1.321
-2.644 -0.382 4.108
F Ru La
1 3 1
Cartesian
-1.606 -3.608 1.554
1.310 -1.962 0.661
-1.594 -1.455 -1.161
-1.322 -0.191 2.054
0.000 0.000 0.000
```

---

Record 6
Computed, not measured: a geometry-optimized TbPmNd4Dy2 structure at the PBE-GGA level of DFT.

Values from the calculation:
Formation enthalpy at 0 K   1 kJ per mole of atoms
Crystal system   monoclinic
Total magnetic moment   0.000 μB/atom
Space group   P2/m
Calculated total energy   -4.6924 eV/atom

POSCAR file:
```
TbPmNd4Dy2
1.0
-2.331 1.157 2.545
-2.886 -5.580 -0.107
6.278 -5.807 8.393
Tb Pm Nd Dy
1 1 4 2
Cartesian
-2.609 -2.211 1.219
1.696 -5.693 4.143
-1.485 -1.681 4.611
2.545 -8.548 6.219
2.834 -5.181 7.557
-1.774 -5.048 3.274
6.278 -5.807 8.393
1.973 -2.325 5.469
```

---

Record 7
Computed, not measured: a geometry-optimized Ta3InAu structure at the PBE-GGA level of DFT.

Values from the calculation:
Formation enthalpy at 0 K   206 kJ per mole of atoms
Crystal system   cubic
Total magnetic moment   0.201 μB/atom
Space group   Pm-3m
E above lowest polymorph   3.06 eV per formula unit
Calculated total energy   -6.1826 eV/atom

POSCAR file:
```
Ta3InAu
1.0
-1.170 2.819 3.914
-2.582 -3.768 1.942
4.074 -1.578 2.355
Au Ta In
1 3 1
Cartesian
0.161 -1.263 4.105
-1.291 -1.884 0.971
-0.585 1.409 1.957
2.037 -0.789 1.177
0.000 0.000 0.000
```

---

Record 8
Computed, not measured: a geometry-optimized MgTc2Ni structure at the PBE-GGA level of DFT.

Values from the calculation:
Formation enthalpy at 0 K   14 kJ per mole of atoms
Crystal system   orthorhombic
Total magnetic moment   0.000 μB/atom
Space group   Pmm2
Calculated total energy   -6.8860 eV/atom

POSCAR file:
```
MgTc2Ni
1.0
-2.684 0.371 0.477
-0.830 -2.459 -2.759
0.080 -4.167 3.690
Tc Ni Mg
2 1 1
Cartesian
0.001 -0.046 0.040
-1.739 -1.971 -0.321
-1.697 -4.159 1.618
0.042 -2.164 1.916
```

---

Record 9
Computed, not measured: a geometry-optimized Nb2HIrPt structure at the PBE-GGA level of DFT.

Values from the calculation:
Crystal system   tetragonal
Total magnetic moment   0.000 μB/atom
Space group   P4/mmm
E above lowest polymorph   0.16 eV per formula unit
Calculated total energy   -8.1120 eV/atom

POSCAR file:
```
Nb2HIrPt
1.0
-1.750 -0.245 3.662
-1.531 -3.638 -0.975
3.336 -1.798 1.474
Nb Pt Ir H
2 1 1 1
Cartesian
-0.875 -0.122 1.831
-0.765 -1.819 -0.487
1.668 -0.899 0.737
0.027 -2.841 2.080
0.000 0.000 0.000
```

---

Record 10
Computed, not measured: a geometry-optimized AcDyZnRh structure at the PBE-GGA level of DFT.

Values from the calculation:
Formation enthalpy at 0 K   -42 kJ per mole of atoms
Crystal system   cubic
Total magnetic moment   0.000 μB/atom
Space group   F-43m
Calculated total energy   -4.7667 eV/atom

POSCAR file:
```
AcDyZnRh
1.0
5.173 0.000 0.000
2.587 4.480 0.000
2.587 1.493 4.224
Rh Ac Zn Dy
1 1 1 1
Cartesian
5.173 2.987 2.112
2.587 1.493 1.056
0.000 0.000 0.000
7.760 4.480 3.168
```

---

Record 11
Computed, not measured: a geometry-optimized LiCa2SnS4 structure at the PBE-GGA level of DFT.

Values from the calculation:
Crystal system   monoclinic
Formation energy (no corrections)   -131.7 kJ/mol of atoms
Total magnetic moment   0.000 μB/atom
Space group   P2/m
Calculated total energy   -4.6683 eV/atom

POSCAR file:
```
LiCa2SnS4
1.0
3.978 0.000 0.000
0.000 6.797 -0.199
0.000 2.332 6.417
S Sn Ca Li
4 1 2 1
Cartesian
0.000 6.777 4.656
1.989 3.517 4.783
1.989 5.612 1.435
3.978 2.352 1.562
1.989 5.730 6.317
1.989 1.166 3.208
0.000 2.332 6.417
0.000 4.564 3.109
```

---

Record 12
Computed, not measured: a geometry-optimized CuH2Pd structure at the PBE-GGA level of DFT.

Values from the calculation:
Crystal system   trigonal
Total magnetic moment   0.000 μB/atom
Space group   P3m1
E above lowest polymorph   0.07 eV per formula unit
Calculated total energy   -3.9758 eV/atom

POSCAR file:
```
CuH2Pd
1.0
-1.215 2.671 0.415
-1.558 -2.449 0.607
1.621 0.055 4.385
H Cu Pd
2 1 1
Cartesian
-0.836 -0.923 3.228
-1.572 0.755 0.860
-0.556 0.789 3.611
-1.469 -0.944 1.514
```

---

- Which formula does entry 2 have?
  PuTh2Al6